DyLuZr2 | PBE | relaxed

a = 4.6898 Å, b = 4.6898 Å, c = 4.7452 Å
α = 90.00°, β = 90.00°, γ = 90.00°
Sites, in units of the cell vectors:
Dy (0.0000, 0.0000, 0.0000)
Lu (0.5000, 0.5000, 0.0000)
Zr (0.0000, 0.5000, 0.5000)
Zr (0.5000, 0.0000, 0.5000)

Results
Calculated formation energy (eV/atom): 0.098
E (eV per atom): -6.456
Offset from the most stable computed form (meV per atom): 0